A geometry-optimized LaHg2Ru structure. Source: Alexandria, functional GGA-PBE.

a = 10.2167 Å, b = 10.2167 Å, c = 10.2167 Å
α = 18.17°, β = 18.17°, γ = 18.17°
With the nearest neighbours (Å) after each atom.
Sites, in units of the cell vectors:
La: 0.0000 0.0000 0.0000  6 La 3.23, 6 Hg 3.39
Hg: 0.2394 0.2394 0.2394  3 Ru 2.88
Hg: 0.7606 0.7606 0.7606  3 Ru 2.88
Ru: 0.5000 0.5000 0.5000  6 Hg 2.88

## Properties
DFT formation energy	0.37	eV per atom
ρ	11.761	g/cm³
volume	90.53	Å³ per cell
SG	R-3m